No. 1
Material: Na2Ho2PuS6
Method: DFT, PBE
State: relaxed

a b c (Å): 6.867 6.867 7.107
angles (deg): 99.20 99.20 119.89
Fractional positions:
Na (0.832, 0.168, 0.000)
Na (0.168, 0.832, 0.000)
Ho (0.334, 0.666, 0.500)
Ho (0.666, 0.334, 0.500)
Pu (0.000, 0.000, 0.500)
S (0.748, 0.748, 0.719)
S (0.069, 0.401, 0.719)
S (0.252, 0.252, 0.281)
S (0.401, 0.069, 0.719)
S (0.931, 0.599, 0.281)
S (0.599, 0.931, 0.281)

Calculated values
- Size of the total moment: 4.00 μB/f.u.
- Total DFT energy (no corrections): -6.3232 eV per atom
- SG: C2/m (12)
- Formation energy from raw total energies: -1800.9 kJ/mol of formula units

---

No. 2
Material: LiScCu2
Method: DFT, PBE
State: relaxed

a b c (Å): 8.286 8.286 8.286
angles (deg): 21.45 21.45 21.45
Fractional positions:
Cu (0.998, 0.998, 0.998)
Cu (0.502, 0.502, 0.502)
Li (0.250, 0.250, 0.250)
Sc (0.750, 0.750, 0.750)

Calculated values
- Size of the total moment: 0.00 μB/f.u.
- Total DFT energy (no corrections): -4.0005 eV per atom
- SG: R-3m (166)
- Formation energy from the elements: 0.11 eV per atom

---

No. 3
Material: PmH3Pt
Method: DFT, PBE
State: relaxed

a b c (Å): 3.777 3.777 3.777
angles (deg): 90.00 90.00 90.00
Fractional positions:
H (0.000, 0.500, 0.000)
H (0.000, 0.000, 0.500)
H (0.500, 0.000, 0.000)
Pt (0.000, 0.000, 0.000)
Pm (0.500, 0.500, 0.500)

Calculated values
- Size of the total moment: 0.00 μB/f.u.
- Total DFT energy (no corrections): -4.6792 eV per atom
- SG: Pm-3m (221)

---

No. 4
Material: Cs2TcPbCl6
Method: DFT, PBE
State: relaxed

a b c (Å): 7.548 7.548 7.546
angles (deg): 60.00 60.00 90.00
Fractional positions:
Pb (0.000, 0.000, 0.000)
Cs (0.750, 0.250, 0.500)
Cs (0.250, 0.750, 0.500)
Tc (0.500, 0.500, 0.000)
Cl (0.269, 0.269, 0.462)
Cl (0.731, 0.731, 0.538)
Cl (0.269, 0.269, 0.000)
Cl (0.731, 0.731, 0.000)
Cl (0.731, 0.269, 0.000)
Cl (0.269, 0.731, 0.000)

Calculated values
- Size of the total moment: 1.00 μB/f.u.
- Total DFT energy (no corrections): -3.8609 eV per atom
- SG: Fm-3m (225)
- Formation energy from raw total energies: -1133.5 kJ/mol of formula units

---

No. 5
Material: Cs2PaIBr5
Method: DFT, PBE
State: relaxed

a b c (Å): 8.252 8.252 8.252
angles (deg): 89.40 120.35 120.35
Fractional positions:
Cs (0.500, 0.254, 0.754)
Cs (0.500, 0.754, 0.254)
Pa (0.000, 0.004, 0.004)
I (0.000, 0.743, 0.743)
Br (0.483, 0.242, 0.242)
Br (0.517, 0.759, 0.759)
Br (0.000, 0.759, 0.242)
Br (0.000, 0.242, 0.759)
Br (0.000, 0.244, 0.244)

Calculated values
- Size of the total moment: 1.01 μB/f.u.
- Total DFT energy (no corrections): -3.9754 eV per atom
- SG: I4mm (107)
- Formation energy from raw total energies: -1414.6 kJ/mol of formula units

---

No. 6
Material: CeDy2HoTh
Method: DFT, PBE
State: relaxed

a b c (Å): 5.503 8.746 6.936
angles (deg): 90.01 90.00 90.00
Fractional positions:
Ce (0.000, 0.000, 0.000)
Ce (0.000, 0.000, 0.500)
Dy (0.500, 0.680, 0.000)
Dy (0.500, 0.320, 0.500)
Dy (0.500, 0.680, 0.500)
Dy (0.500, 0.320, 0.000)
Ho (0.000, 0.500, 0.750)
Ho (0.000, 0.500, 0.250)
Th (0.500, 0.000, 0.250)
Th (0.500, 0.000, 0.750)

Calculated values
- Size of the total moment: 0.62 μB/f.u.
- Total DFT energy (no corrections): -5.1146 eV per atom
- SG: Pmmm (47)
- Formation energy from the elements: 0.31 eV per atom

---

No. 7
Material: PmNdSi4
Method: DFT, PBE
State: relaxed

a b c (Å): 4.150 4.150 7.702
angles (deg): 105.63 105.63 90.00
Fractional positions:
Pm (0.000, 0.000, 0.000)
Nd (0.250, 0.750, 0.500)
Si (0.666, 0.166, 0.333)
Si (0.583, 0.583, 0.166)
Si (0.834, 0.334, 0.667)
Si (0.417, 0.417, 0.834)

Calculated values
- Size of the total moment: 0.00 μB/f.u.
- Total DFT energy (no corrections): -5.7931 eV per atom
- SG: I-4m2 (119)
- Formation energy from raw total energies: -342.3 kJ/mol of formula units

---

No. 8
Material: LiTi2I
Method: DFT, PBE
State: relaxed

a b c (Å): 4.677 4.677 4.677
angles (deg): 60.00 60.00 60.00
Fractional positions:
I (0.500, 0.500, 0.500)
Li (0.000, 0.000, 0.000)
Ti (0.250, 0.250, 0.250)
Ti (0.750, 0.750, 0.750)

Calculated values
- Size of the total moment: 0.00 μB/f.u.
- Total DFT energy (no corrections): -4.3555 eV per atom
- SG: Fm-3m (225)
- Formation energy from raw total energies: 176.7 kJ/mol of formula units

---

No. 9
Material: CsScCl3
Method: DFT, PBE
State: relaxed

a b c (Å): 5.185 5.185 5.185
angles (deg): 90.00 90.00 90.00
Fractional positions:
Cs (0.500, 0.500, 0.500)
Sc (0.000, 0.000, 0.000)
Cl (0.000, 0.500, 0.000)
Cl (0.000, 0.000, 0.500)
Cl (0.500, 0.000, 0.000)

Calculated values
- Size of the total moment: 1.00 μB/f.u.
- Total DFT energy (no corrections): -4.4546 eV per atom
- SG: Pm-3m (221)
- Formation energy from raw total energies: -921.2 kJ/mol of formula units

---

No. 10
Material: AcLa2Tl6
Method: DFT, PBE
State: relaxed

a b c (Å): 9.229 9.229 3.774
angles (deg): 90.00 90.00 120.00
Fractional positions:
Ac (0.000, 0.000, 0.000)
La (0.333, 0.667, 0.000)
La (0.667, 0.333, 0.000)
Tl (0.664, 0.000, 0.500)
Tl (0.336, 0.000, 0.500)
Tl (0.336, 0.336, 0.500)
Tl (0.000, 0.664, 0.500)
Tl (0.000, 0.336, 0.500)
Tl (0.664, 0.664, 0.500)

Calculated values
- Size of the total moment: 0.00 μB/f.u.
- Total DFT energy (no corrections): -3.4192 eV per atom
- SG: P6/mmm (191)
- Formation energy from the elements: -0.29 eV per atom

---

No. 11
Material: TbTl2Pd
Method: DFT, PBE
State: relaxed

a b c (Å): 4.813 4.437 4.437
angles (deg): 90.00 90.00 90.00
Fractional positions:
Tl (0.000, 0.000, 0.500)
Tl (0.000, 0.500, 0.000)
Tb (0.500, 0.500, 0.500)
Pd (0.500, 0.000, 0.000)

Calculated values
- Size of the total moment: 0.00 μB/f.u.
- Total DFT energy (no corrections): -3.9548 eV per atom
- SG: P4/mmm (123)
- Formation energy from the elements: -0.32 eV per atom

---

No. 12
Material: LaTb2Er8
Method: DFT, PBE
State: relaxed

a b c (Å): 5.436 8.361 9.052
angles (deg): 115.40 107.47 90.00
Fractional positions:
La (0.500, 0.000, 0.000)
Tb (0.798, 0.342, 0.597)
Tb (0.202, 0.658, 0.403)
Er (0.383, 0.554, 0.765)
Er (0.669, 0.894, 0.337)
Er (0.840, 0.800, 0.681)
Er (0.981, 0.277, 0.961)
Er (0.160, 0.200, 0.319)
Er (0.331, 0.106, 0.663)
Er (0.617, 0.446, 0.235)
Er (0.019, 0.723, 0.039)

Calculated values
- Size of the total moment: 0.00 μB/f.u.
- Total DFT energy (no corrections): -4.5029 eV per atom
- SG: C2/m (12)
- Formation energy from the elements: 0.11 eV per atom

---

Repeat the fifth record exactly.
Material: Cs2PaIBr5
Method: DFT, PBE
State: relaxed

a b c (Å): 8.252 8.252 8.252
angles (deg): 89.40 120.35 120.35
Fractional positions:
Cs (0.500, 0.254, 0.754)
Cs (0.500, 0.754, 0.254)
Pa (0.000, 0.004, 0.004)
I (0.000, 0.743, 0.743)
Br (0.483, 0.242, 0.242)
Br (0.517, 0.759, 0.759)
Br (0.000, 0.759, 0.242)
Br (0.000, 0.242, 0.759)
Br (0.000, 0.244, 0.244)

Calculated values
- Size of the total moment: 1.01 μB/f.u.
- Total DFT energy (no corrections): -3.9754 eV per atom
- SG: I4mm (107)
- Formation energy from raw total energies: -1414.6 kJ/mol of formula units

---

What did the tenth record say?
Material: AcLa2Tl6
Method: DFT, PBE
State: relaxed

a b c (Å): 9.229 9.229 3.774
angles (deg): 90.00 90.00 120.00
Fractional positions:
Ac (0.000, 0.000, 0.000)
La (0.333, 0.667, 0.000)
La (0.667, 0.333, 0.000)
Tl (0.664, 0.000, 0.500)
Tl (0.336, 0.000, 0.500)
Tl (0.336, 0.336, 0.500)
Tl (0.000, 0.664, 0.500)
Tl (0.000, 0.336, 0.500)
Tl (0.664, 0.664, 0.500)

Calculated values
- Size of the total moment: 0.00 μB/f.u.
- Total DFT energy (no corrections): -3.4192 eV per atom
- SG: P6/mmm (191)
- Formation energy from the elements: -0.29 eV per atom